# 1
A plane-wave DFT calculation with PBE was carried out for a geometry-optimized YSe structure.

Cell: 3.9732 4.0141 13.3913 Å, 90.00 90.00 90.00°
Last column: nearest neighbours and their distance in Å.
Space group Imma (No. 74)
Unique sites:
Y (0.0000, 0.2500, 0.1254) [4 per cell]  4 Se 2.82
Se (0.0000, 0.2500, 0.6239) [4 per cell]  4 Y 2.82

Calculated values
Spin magnetization ... 0.00 μB per formula unit
Energy relative to the elements, uncorrected ... -1.3650 eV per atom

---

# 2
A plane-wave DFT calculation with PBE was carried out for a geometry-optimized La6TbTm5 structure.

Cell: 6.1344 7.4309 8.8849 Å, 90.00 93.70 90.00°
Last column: nearest neighbours and their distance in Å.
Space group P2/m (No. 10)
Unique sites:
La (0.0000, 0.2492, 0.0000) [2 per cell]  6 Tm 3.58-3.59, 2 Tb 3.59, 4 La 3.70-3.73
La (0.3322, 0.2495, 0.6658) [4 per cell]  7 Tm 3.58-3.59, 1 Tb 3.60, 4 La 3.70-3.72
Tb (0.5000, 0.5000, 0.0000) [1 per cell]  8 La 3.59-3.60, 4 Tm 3.71-3.72
Tm (0.1668, 0.5000, 0.3335) [2 per cell]  8 La 3.58-3.59, 3 Tm 3.70-3.72, 1 Tb 3.71
Tm (0.1677, 0.0000, 0.3331) [2 per cell]  8 La 3.58-3.59, 4 Tm 3.70-3.72
Tm (0.5000, 0.0000, 0.0000) [1 per cell]  8 La 3.58-3.59, 2 Tm 3.70, 2 Tb 3.72

Calculated values
Spin magnetization ... 0.00 μB per formula unit
Energy of formation from the pure elements ... 0.31 eV per formula unit

---

# 3
A plane-wave DFT calculation with PBE was carried out for a geometry-optimized ZrTi2SnC structure.

Cell: 4.9952 4.9952 5.3637 Å, 90.00 90.00 90.00°
Last column: nearest neighbours and their distance in Å.
Space group P4/mmm (No. 123)
Unique sites:
Zr (0.0000, 0.0000, 0.0000) [1 per cell]  2 Sn 2.68
Ti (0.0000, 0.5000, 0.5000) [2 per cell]  2 Sn 2.50
Sn (0.0000, 0.0000, 0.5000) [1 per cell]  4 Ti 2.50, 2 Zr 2.68
C (0.5000, 0.5000, 0.0000) [1 per cell]  4 Zr 3.53, 8 Ti 3.66

Calculated values
Spin magnetization ... 3.21 μB per formula unit
Energy above the most stable polymorph in this dataset ... 2743.2 meV/atom
Energy of formation from the pure elements ... 10.81 eV per formula unit

---

# 4
A plane-wave DFT calculation with PBE was carried out for a geometry-optimized K2YCr structure.

Cell: 3.4911 3.4911 12.6528 Å, 90.00 90.00 90.00°
Last column: nearest neighbours and their distance in Å.
Space group P4/mmm (No. 123)
Unique sites:
K (0.0000, 0.0000, 0.2214) [2 per cell]  4 K 3.49, 4 Cr 3.73
Y (0.5000, 0.5000, 0.5000) [1 per cell]  4 Y 3.49
Cr (0.5000, 0.5000, 0.0000) [1 per cell]  4 Cr 3.49, 8 K 3.73

Calculated values
Spin magnetization ... 4.90 μB per formula unit
Energy above the most stable polymorph in this dataset ... 341.0 meV/atom
Energy of formation from the pure elements ... 3.65 eV per formula unit